*one*
Y2AlSe | GGA-PBE | relaxed

The structure belongs to space group Immm (No. 71); the cell edges are 4.1827, 5.7765 and 8.2878 Å and the angles 90.00°, 90.00° and 90.00°. The asymmetric unit holds Y at (0.0000, 0.0000, 0.2348), Al at (0.0000, 0.5000, 0.0000) and Se at (0.0000, 0.5000, 0.5000).

The crystal system is orthorhombic. The density of states at the Fermi level comes out at 0.753 states/eV per atom.

***

*two*
Y2AlSe | GGA-PBE | relaxed

The structure belongs to space group R3m (No. 160, hexagonal axes); the cell edges are 3.8100, 3.8100 and 24.2541 Å and the angles 90.00°, 90.00° and 120.00°. The asymmetric unit holds Y at (0.0000, 0.0000, 0.0000), Y at (0.0000, 0.0000, 0.1602), Al at (0.0000, 0.0000, 0.5808) and Se at (0.0000, 0.0000, 0.4125).

The crystal system is trigonal. The density of states at the Fermi level comes out at 0.471 states/eV per atom.

***

*three*
Y2AlSe | GGA-PBE | relaxed

The structure belongs to space group F-43m (No. 216); the cell edges are 7.2645, 7.2645 and 7.2645 Å and the angles 90.00°, 90.00° and 90.00°. The asymmetric unit holds Y at (0.0000, 0.0000, 0.0000), Y at (0.2500, 0.2500, 0.2500), Al at (0.2500, 0.2500, 0.7500) and Se at (0.0000, 0.0000, 0.5000).

The crystal system is cubic. The density of states at the Fermi level comes out at 1.550 states/eV per atom.

***

Most stable = *two*

***

*one*
Y2AlSe | GGA-PBE | relaxed

The structure belongs to space group I-4m2 (No. 119); the cell edges are 4.2232, 4.2232 and 10.8674 Å and the angles 90.00°, 90.00° and 90.00°. The asymmetric unit holds Y at (0.0000, 0.0000, 0.0000), Y at (0.0000, 0.5000, 0.2500), Al at (0.0000, 0.5000, 0.7500) and Se at (0.0000, 0.0000, 0.5000).

The crystal system is tetragonal. The density of states at the Fermi level comes out at 0.589 states/eV per atom.

***

*two*
Y2AlSe | GGA-PBE | relaxed

The structure belongs to space group Cmcm (No. 63); the cell edges are 4.2895, 22.5805 and 4.0852 Å and the angles 90.00°, 90.00° and 90.00°. The asymmetric unit holds Y at (0.0000, 0.0672, 0.2500), Y at (0.0000, 0.3210, 0.2500), Al at (0.0000, 0.4614, 0.2500) and Se at (0.0000, 0.1932, 0.2500).

The crystal system is orthorhombic. The density of states at the Fermi level comes out at 0.435 states/eV per atom.

***

Most stable = *two*

***

*one*
Y2AlSe | GGA-PBE | relaxed

The structure belongs to space group P4/mmm (No. 123); the cell edges are 4.1643, 4.1643 and 5.9288 Å and the angles 90.00°, 90.00° and 90.00°. The asymmetric unit holds Y at (0.0000, 0.0000, 0.0000), Y at (0.5000, 0.5000, 0.5000), Al at (0.0000, 0.0000, 0.5000) and Se at (0.5000, 0.5000, 0.0000).

The crystal system is tetragonal. The density of states at the Fermi level comes out at 0.728 states/eV per atom.

***

*two*
Y2AlSe | GGA-PBE | relaxed

The structure belongs to space group Fm-3m (No. 225); the cell edges are 7.2916, 7.2916 and 7.2916 Å and the angles 90.00°, 90.00° and 90.00°. The asymmetric unit holds Y at (0.2500, 0.2500, 0.2500), Al at (0.0000, 0.0000, 0.0000) and Se at (0.0000, 0.0000, 0.5000).

The crystal system is cubic. The density of states at the Fermi level comes out at 1.170 states/eV per atom.

***

*three*
Y2AlSe | GGA-PBE | relaxed

The structure belongs to space group I-42d (No. 122); the cell edges are 7.8264, 7.8264 and 6.8331 Å and the angles 90.00°, 90.00° and 90.00°. The asymmetric unit holds Y at (0.2318, 0.2500, 0.1250), Al at (0.0000, 0.0000, 0.5000) and Se at (0.0000, 0.0000, 0.0000).

The crystal system is tetragonal. The density of states at the Fermi level comes out at 0.935 states/eV per atom.

***

Most stable = *one*

***

*one*
Y2AlSe | GGA-PBE | relaxed

The structure belongs to space group C2/m (No. 12); the cell edges are 7.2568, 7.6851 and 3.5255 Å and the angles 90.00°, 99.76° and 90.00°. The asymmetric unit holds Y at (0.2500, 0.2500, 0.0000), Al at (0.0000, 0.0000, 0.5000) and Se at (0.0000, 0.5000, 0.5000).

The crystal system is monoclinic. The density of states at the Fermi level comes out at 0.661 states/eV per atom.

***

*two*
Y2AlSe | GGA-PBE | relaxed

The structure belongs to space group Cm (No. 8); the cell edges are 11.1741, 3.7249 and 4.6705 Å and the angles 90.00°, 93.56° and 90.00°. The asymmetric unit holds Y at (0.0000, 0.0000, 0.0000), Y at (0.2294, 0.5000, 0.5212), Al at (0.4677, 0.0000, 0.4971) and Se at (0.2658, 0.0000, 0.0308).

The crystal system is monoclinic. The density of states at the Fermi level comes out at 0.687 states/eV per atom.

***

Most stable = *two*

***

*one*
Y2AlSe2 | GGA-PBE | relaxed

The structure belongs to space group I4/mmm (No. 139); the cell edges are 4.8923, 4.8923 and 12.6552 Å and the angles 90.00°, 90.00° and 90.00°. The asymmetric unit holds Y at (0.0000, 0.0000, 0.1404), Al at (0.0000, 0.0000, 0.5000) and Se at (0.0000, 0.5000, 0.2500).

The crystal system is tetragonal. The density of states at the Fermi level comes out at 0.421 states/eV per atom.

***

*two*
Y2AlSe2 | GGA-PBE | relaxed

The structure belongs to space group P4/mbm (No. 127); the cell edges are 8.0324, 8.0324 and 3.7559 Å and the angles 90.00°, 90.00° and 90.00°. The asymmetric unit holds Y at (0.1613, 0.3387, 0.0000), Al at (0.0000, 0.0000, 0.0000) and Se at (0.1417, 0.6417, 0.5000).

The crystal system is tetragonal. The density of states at the Fermi level comes out at 1.078 states/eV per atom.

***

Most stable = *two*

***

*one*
ZrAl3Se | GGA-PBE | relaxed

The structure belongs to space group Pm-3m (No. 221); the cell edges are 5.3334, 5.3334 and 5.3334 Å and the angles 90.00°, 90.00° and 90.00°. The asymmetric unit holds Zr at (0.0000, 0.0000, 0.0000), Al at (0.0000, 0.0000, 0.5000) and Se at (0.5000, 0.5000, 0.5000).

The crystal system is cubic. The density of states at the Fermi level comes out at 1.648 states/eV per atom.

***

*two*
ZrAl3Se | GGA-PBE | relaxed

The structure belongs to space group Pm-3m (No. 221); the cell edges are 4.8302, 4.8302 and 4.8302 Å and the angles 90.00°, 90.00° and 90.00°. The asymmetric unit holds Zr at (0.0000, 0.0000, 0.0000), Al at (0.0000, 0.5000, 0.5000) and Se at (0.5000, 0.5000, 0.5000).

The crystal system is cubic. The density of states at the Fermi level comes out at 1.175 states/eV per atom.

***

Most stable = *two*

***

*one*
AlSi3 | GGA-PBE | relaxed

The structure belongs to space group C2/m (No. 12); the cell edges are 8.5169, 3.3502 and 4.3667 Å and the angles 90.00°, 105.86° and 90.00°. The asymmetric unit holds Al at (0.0000, 0.0000, 0.0000), Si at (0.0000, 0.5000, 0.5000) and Si at (0.2412, 0.0000, 0.7315).

The crystal system is monoclinic. The density of states at the Fermi level comes out at 0.232 states/eV per atom.

***

*two*
AlSi3 | GGA-PBE | relaxed

The structure belongs to space group P6_3/mmc (No. 194); the cell edges are 5.4545, 5.4545 and 9.2015 Å and the angles 90.00°, 90.00° and 120.00°. The asymmetric unit holds Al at (0.0000, 0.0000, 0.0000), Al at (0.3333, 0.6667, 0.2500), Si at (0.0000, 0.5000, 0.0000) and Si at (0.1701, 0.3402, 0.7500).

The crystal system is hexagonal. The density of states at the Fermi level comes out at 0.413 states/eV per atom.

***

*three*
AlSi3 | GGA-PBE | relaxed

The structure belongs to space group Pmmm (No. 47); the cell edges are 2.5989, 4.2869 and 5.4687 Å and the angles 90.00°, 90.00° and 90.00°. The asymmetric unit holds Al at (0.0000, 0.0000, 0.0000), Si at (0.5000, 0.0000, 0.5000) and Si at (0.5000, 0.5000, 0.2390).

The crystal system is orthorhombic. The density of states at the Fermi level comes out at 0.544 states/eV per atom.

***

Most stable = *three*

***

*one*
AlSi3 | GGA-PBE | relaxed

The structure belongs to space group Pm-3m (No. 221); the cell edges are 4.7875, 4.7875 and 4.7875 Å and the angles 90.00°, 90.00° and 90.00°. The asymmetric unit holds Al at (0.0000, 0.0000, 0.0000) and Si at (0.0000, 0.0000, 0.5000).

The crystal system is cubic. The density of states at the Fermi level comes out at 0.756 states/eV per atom.

***

*two*
AlSi3 | GGA-PBE | relaxed

The structure belongs to space group Fm-3m (No. 225); the cell edges are 6.2364, 6.2364 and 6.2364 Å and the angles 90.00°, 90.00° and 90.00°. The asymmetric unit holds Al at (0.0000, 0.0000, 0.0000), Si at (0.0000, 0.0000, 0.5000) and Si at (0.2500, 0.2500, 0.2500).

The crystal system is cubic. The density of states at the Fermi level comes out at 0.888 states/eV per atom.

***

Most stable = *two*